(1)
Computed, not measured: Sc2PbO after structural relaxation at the PBE level of DFT.

Cell lengths 8.487, 8.487, 8.487 Å; angles 22.69, 22.69, 22.69 degrees
Fractional positions:
1 Sc 0.119 0.119 0.119
2 Sc 0.881 0.881 0.881
3 Pb 0.000 0.000 0.000
4 O 0.500 0.500 0.500

Output
calculated total energy	-0.244	Ha/atom
energy above the lowest structure with this stoichiometry	404.8	meV/atom
density of states at the Fermi level	2.74	states/eV/cell
space-group type	R-3m, No. 166


(2)
Computed, not measured: CePu4Mg after structural relaxation at the PBE level of DFT.

Cell lengths 6.114, 6.114, 6.114 Å; angles 60.00, 60.00, 60.00 degrees
Fractional positions:
1 Ce 0.000 0.000 0.000
2 Pu 0.125 0.625 0.625
3 Pu 0.625 0.125 0.625
4 Pu 0.625 0.625 0.125
5 Pu 0.625 0.625 0.625
6 Mg 0.250 0.250 0.250

Output
calculated total energy	-0.386	Ha/atom
density of states at the Fermi level	25.92	states/eV/cell
formation energy	312	meV/atom
space-group type	F-43m, No. 216


(3)
Computed, not measured: Mg7Ti after structural relaxation at the PBE level of DFT.

Cell lengths 6.352, 6.352, 5.018 Å; angles 90.00, 90.00, 120.00 degrees
Fractional positions:
1 Mg 0.000 0.000 0.000
2 Mg 0.168 0.337 0.500
3 Mg 0.168 0.832 0.500
4 Mg 0.505 0.010 0.000
5 Mg 0.505 0.495 0.000
6 Mg 0.663 0.832 0.500
7 Mg 0.990 0.495 0.000
8 Ti 0.667 0.333 0.500

Output
calculated total energy	-0.084	Ha/atom
energy above the lowest structure with this stoichiometry	15.3	meV/atom
density of states at the Fermi level	5.18	states/eV/cell
formation energy	95	meV/atom
space-group type	P-6m2, No. 187